(1)
Entry from OQMD: Zr3Al3Ir2Au after structural relaxation (PBE).

Cell: 7.317 7.317 3.490 Å, 90.00 90.00 120.00°
Positions (direct):
Zr1 0.000 0.598 0.500
Zr2 0.402 0.402 0.500
Ir1 0.333 0.667 0.000
Au1 0.000 0.000 0.500
Ir2 0.667 0.333 0.000
Zr3 0.598 0.000 0.500
Al1 0.000 0.272 0.000
Al2 0.728 0.728 0.000
Al3 0.272 0.000 0.000

Results
Energy: -7.237 eV per atom
Calculated volume: 17.98 A^3/atom

=====

(2)
Entry from OQMD: KAl2Au2 after structural relaxation (PBE).

Cell: 6.520 6.520 6.520 Å, 139.90 139.90 58.00°
Positions (direct):
Al1 0.750 0.250 0.500
Al2 0.250 0.750 0.500
Au1 0.631 0.631 0.000
K1 0.000 0.000 0.000
Au2 0.369 0.369 0.000

Results
Energy: -3.360 eV per atom
Calculated volume: 22.79 A^3/atom

=====

(3)
Entry from OQMD: KAlAu after structural relaxation (PBE).

Cell: 4.965 4.965 4.965 Å, 60.00 60.00 60.00°
Positions (direct):
Au1 0.000 0.000 0.000
Al1 0.250 0.250 0.250
K1 0.750 0.750 0.750

Results
Energy: -2.528 eV per atom
Calculated volume: 28.85 A^3/atom

=====

(4)
Entry from OQMD: KRbAl4Au2 after structural relaxation (PBE).

Cell: 7.654 6.911 6.911 Å, 36.93 90.00 90.00°
Positions (direct):
K1 0.500 0.462 0.462
Al1 0.184 0.804 0.804
Rb1 0.000 0.536 0.536
Al2 0.318 0.197 0.197
Al3 0.816 0.804 0.804
Al4 0.682 0.197 0.197
Au1 0.500 0.728 0.728
Au2 0.000 0.271 0.271

Results
Energy: -3.170 eV per atom
Calculated volume: 27.46 A^3/atom

=====

(5)
Entry from OQMD: KScAlAu after structural relaxation (PBE).

Cell: 5.137 5.137 5.137 Å, 60.00 60.00 60.00°
Positions (direct):
Al1 0.250 0.250 0.250
Sc1 0.000 0.000 0.000
K1 0.500 0.500 0.500
Au1 0.750 0.750 0.750

Results
Energy above the lowest structure with this stoichiometry: 0.37 eV per formula unit
Calculated volume: 23.97 A^3/atom

=====

(6)
Entry from OQMD: KScAlAu after structural relaxation (PBE).

Cell: 4.987 4.987 4.987 Å, 60.00 60.00 60.00°
Positions (direct):
K1 0.500 0.500 0.500
Al1 0.000 0.000 0.000
Au1 0.750 0.750 0.750
Sc1 0.250 0.250 0.250

Results
Energy above the lowest structure with this stoichiometry: 0.50 eV per formula unit
Calculated volume: 21.93 A^3/atom

=====

(7)
Entry from OQMD: KScAlAu after structural relaxation (PBE).

Cell: 4.905 4.905 4.905 Å, 60.00 60.00 60.00°
Positions (direct):
Al1 0.500 0.500 0.500
Au1 0.750 0.750 0.750
Sc1 0.000 0.000 0.000
K1 0.250 0.250 0.250

Results
Energy above the lowest structure with this stoichiometry: 0.00 eV per formula unit
Calculated volume: 20.86 A^3/atom

=====

(8)
Entry from OQMD: KAlTlAu after structural relaxation (PBE).

Cell: 5.231 5.231 5.231 Å, 60.00 60.00 60.00°
Positions (direct):
K1 0.000 0.000 0.000
Au1 0.750 0.750 0.750
Tl1 0.250 0.250 0.250
Al1 0.500 0.500 0.500

Results
Energy above the lowest structure with this stoichiometry: 0.00 eV per formula unit
Calculated volume: 25.31 A^3/atom

=====

(9)
Entry from OQMD: KAlTlAu after structural relaxation (PBE).

Cell: 5.181 5.181 5.181 Å, 60.00 60.00 60.00°
Positions (direct):
Tl1 0.500 0.500 0.500
Au1 0.750 0.750 0.750
Al1 0.000 0.000 0.000
K1 0.250 0.250 0.250

Results
Energy above the lowest structure with this stoichiometry: 0.17 eV per formula unit
Calculated volume: 24.59 A^3/atom

=====

(10)
Entry from OQMD: KAlTlAu after structural relaxation (PBE).

Cell: 5.295 5.295 5.295 Å, 60.00 60.00 60.00°
Positions (direct):
Au1 0.750 0.750 0.750
Tl1 0.500 0.500 0.500
K1 0.000 0.000 0.000
Al1 0.250 0.250 0.250

Results
Energy above the lowest structure with this stoichiometry: 0.30 eV per formula unit
Calculated volume: 26.24 A^3/atom

=====

(11)
Entry from OQMD: La2Al5Au3 after structural relaxation (PBE).

Cell: 8.789 8.789 8.789 Å, 104.20 90.56 138.16°
Positions (direct):
Au1 0.630 0.877 0.507
Al1 0.010 0.250 0.760
Al2 0.250 0.750 0.500
Au2 0.370 0.123 0.493
Al3 0.750 0.250 0.500
Au3 0.870 0.377 0.248
Al4 0.114 0.857 0.971
Al5 0.614 0.643 0.257
Al6 0.490 0.250 0.240
Au4 0.250 0.250 0.000
Al7 0.510 0.750 0.760
Al8 0.386 0.357 0.743
Au5 0.130 0.623 0.752
La1 0.629 0.240 0.869
La2 0.871 0.740 0.610
Au6 0.750 0.750 0.000
Al9 0.886 0.143 0.029
Al10 0.990 0.750 0.240
La3 0.129 0.260 0.390
La4 0.371 0.760 0.131

Results
Energy: -4.559 eV per atom
Calculated volume: 20.96 A^3/atom

=====

(12)
Entry from OQMD: LaAl3Au after structural relaxation (PBE).

Cell: 6.295 6.295 6.295 Å, 139.29 139.29 58.93°
Positions (direct):
Al1 0.251 0.751 0.500
Al2 0.751 0.251 0.500
Au1 0.627 0.627 0.000
Al3 0.397 0.397 0.000
La1 0.990 0.990 0.000

Results
Energy: -4.549 eV per atom
Calculated volume: 21.03 A^3/atom